Record 1
VASP calculation (PBE) on a relaxed LiHgMo2 crystal.

Mass density, g/cm³: 9.9
Final energy, eV/atom: -5.581
Symmetry: P4mm, No. 99
Density of states at the Fermi level, states/eV/cell: 2.193

a = 2.7165 Å, b = 2.7165 Å, c = 9.1174 Å
α = 90.00°, β = 90.00°, γ = 90.00°
Sites, in units of the cell vectors:
1 Hg 0.0000 0.0000 0.5106
2 Li 0.5000 0.5000 0.7467
3 Mo 0.0000 0.0000 0.9965
4 Mo 0.5000 0.5000 0.2462

=====

Record 2
VASP calculation (PBE) on a relaxed HoZn3Ag9 crystal.

Mass density, g/cm³: 9.4
Final energy, eV/atom: -2.721
Symmetry: C2/m, No. 12
Density of states at the Fermi level, states/eV/cell: 4.860

a = 5.3039 Å, b = 7.0812 Å, c = 7.1669 Å
α = 83.00°, β = 68.28°, γ = 70.78°
Sites, in units of the cell vectors:
1 Ho 0.0000 0.0000 0.0000
2 Zn 0.5000 0.5000 0.0000
3 Zn 0.0000 0.0000 0.5000
4 Zn 0.5000 0.0000 0.5000
5 Ag 0.6987 0.7886 0.7844
6 Ag 0.3013 0.2114 0.2156
7 Ag 0.5169 0.2114 0.7844
8 Ag 0.4831 0.7886 0.2156
9 Ag 0.6672 0.3416 0.3553
10 Ag 0.3328 0.6584 0.6447
11 Ag 0.9775 0.6584 0.3553
12 Ag 0.0225 0.3416 0.6447
13 Ag 0.0000 0.5000 0.0000

=====

Record 3
VASP calculation (PBE) on a relaxed AcAlRuN crystal.

Mass density, g/cm³: 8.3
Final energy, eV/atom: -7.093
Symmetry: P4/nmm, No. 129
Density of states at the Fermi level, states/eV/cell: 5.729
Formation energy from raw total energies, eV/atom: -0.730

a = 4.0533 Å, b = 4.0533 Å, c = 8.9717 Å
α = 90.00°, β = 90.00°, γ = 90.00°
Sites, in units of the cell vectors:
1 Ac 0.0000 0.5000 0.8443
2 Ac 0.5000 0.0000 0.1557
3 Al 0.0000 0.5000 0.3382
4 Al 0.5000 0.0000 0.6618
5 Ru 0.0000 0.0000 0.5000
6 Ru 0.5000 0.5000 0.5000
7 N 0.5000 0.0000 0.8718
8 N 0.0000 0.5000 0.1282

=====

Record 4
VASP calculation (PBE) on a relaxed GaTe3Br crystal.

Mass density, g/cm³: 5.2
Final energy, eV/atom: -3.027
Symmetry: Pmn2_1, No. 31
Formation energy from raw total energies, eV/atom: -0.202

a = 5.6252 Å, b = 7.7961 Å, c = 7.7259 Å
α = 89.97°, β = 90.00°, γ = 90.01°
Sites, in units of the cell vectors:
1 Ga 0.1792 0.6711 0.7009
2 Ga 0.6792 0.6817 0.2009
3 Te 0.3035 0.4204 0.2009
4 Te 0.4415 0.8898 0.9456
5 Te 0.9414 0.4629 0.4459
6 Te 0.8036 0.9323 0.7006
7 Te 0.9414 0.4629 0.9559
8 Te 0.4414 0.8899 0.4556
9 Br 0.5124 0.4380 0.7009
10 Br 0.0125 0.9147 0.2006

=====

Record 5
VASP calculation (PBE) on a relaxed PmErSiRu crystal.

Mass density, g/cm³: 8.6
Final energy, eV/atom: -6.356
Symmetry: F-43m, No. 216
Density of states at the Fermi level, states/eV/cell: 2.432
Formation energy from raw total energies, eV/atom: -0.353

a = 4.9391 Å, b = 4.9391 Å, c = 4.9391 Å
α = 60.00°, β = 60.00°, γ = 60.00°
Sites, in units of the cell vectors:
1 Ru 0.2500 0.2500 0.2500
2 Si 0.7500 0.7500 0.7500
3 Pm 0.0000 0.0000 0.0000
4 Er 0.5000 0.5000 0.5000

=====

Record 6
VASP calculation (PBE) on a relaxed NaGaCuSe3 crystal.

Mass density, g/cm³: 4.3
Final energy, eV/atom: -3.634
Symmetry: P2_1/m, No. 11
Density of states at the Fermi level, states/eV/cell: 8.978
Formation energy from raw total energies, eV/atom: -0.485

a = 3.7418 Å, b = 7.9336 Å, c = 10.6753 Å
α = 105.52°, β = 90.00°, γ = 90.00°
Sites, in units of the cell vectors:
1 Na 0.2500 0.1796 0.1611
2 Na 0.7500 0.8204 0.8389
3 Ga 0.2500 0.0979 0.6241
4 Ga 0.7500 0.9021 0.3759
5 Cu 0.2500 0.6318 0.0943
6 Cu 0.7500 0.3682 0.9057
7 Se 0.7500 0.8786 0.1504
8 Se 0.2500 0.1214 0.8496
9 Se 0.2500 0.7849 0.4783
10 Se 0.7500 0.2151 0.5217
11 Se 0.7500 0.4554 0.1486
12 Se 0.2500 0.5446 0.8514

=====

Record 7
VASP calculation (PBE) on a relaxed ReSeI2 crystal.

Mass density, g/cm³: 9.6
Final energy, eV/atom: -3.351
Symmetry: Fm-3m, No. 225
Density of states at the Fermi level, states/eV/cell: 4.760
Formation energy from raw total energies, eV/atom: 1.407

a = 5.0232 Å, b = 5.0232 Å, c = 5.0232 Å
α = 60.00°, β = 60.00°, γ = 60.00°
Sites, in units of the cell vectors:
1 I 0.2500 0.2500 0.2500
2 I 0.7500 0.7500 0.7500
3 Re 0.5000 0.5000 0.5000
4 Se 0.0000 0.0000 0.0000

=====

Record 8
VASP calculation (PBE) on a relaxed Pm8Ag2Rh3 crystal.

Mass density, g/cm³: 7.6
Final energy, eV/atom: -5.390
Symmetry: P2/m, No. 10
Density of states at the Fermi level, states/eV/cell: 16.166

a = 4.9607 Å, b = 10.1277 Å, c = 8.8696 Å
α = 124.79°, β = 90.00°, γ = 90.00°
Sites, in units of the cell vectors:
1 Pm 0.0000 0.6157 0.2301
2 Pm 0.0000 0.3843 0.7699
3 Pm 0.0000 0.1172 0.2331
4 Pm 0.0000 0.8828 0.7669
5 Pm 0.5000 0.6371 0.7684
6 Pm 0.5000 0.1296 0.7672
7 Pm 0.5000 0.8704 0.2328
8 Pm 0.5000 0.3629 0.2316
9 Ag 0.5000 0.2556 0.5112
10 Ag 0.5000 0.7444 0.4888
11 Rh 0.5000 0.0000 0.0000
12 Rh 0.0000 0.2537 0.9998
13 Rh 0.0000 0.7463 0.0002